No. 1
The following is a PBE-GGA calculation of a relaxed ZrNb crystal, from Alexandria.

**Crystal system**: cubic
**Total magnetic moment**: 0.000 μB per atom
**Formation energy from the elements**: 0.2 eV per formula unit

Structure (CIF):
```
data_ZrNb
_cell_length_a 3.441
_cell_length_b 3.441
_cell_length_c 3.441
_cell_angle_alpha 90.00
_cell_angle_beta 90.00
_cell_angle_gamma 90.00
_symmetry_space_group_name_H-M 'P m -3 m'
_symmetry_Int_Tables_number 221
_symmetry_space_group_name_Hall '-P 4 2 3'
loop_
_atom_site_label
_atom_site_type_symbol
_atom_site_fract_x
_atom_site_fract_y
_atom_site_fract_z
Zr1 Zr 0.000 0.000 0.000
Nb1 Nb 0.500 0.500 0.500
```

=====

No. 2
The following is a PBE-GGA calculation of a relaxed Cr2CoAs crystal, from Alexandria.

**Crystal system**: orthorhombic
**Total magnetic moment**: 0.091 μB per atom
**Formation energy from the elements**: -0.1 eV per formula unit

Structure (CIF):
```
data_Cr2CoAs
_cell_length_a 3.487
_cell_length_b 3.656
_cell_length_c 3.937
_cell_angle_alpha 90.00
_cell_angle_beta 90.00
_cell_angle_gamma 90.00
_symmetry_space_group_name_H-M 'P m m m'
_symmetry_Int_Tables_number 47
loop_
_symmetry_equiv_pos_as_xyz
'x,y,z'
'-x,-y,-z'
'-x,-y,z'
'x,y,-z'
'x,-y,-z'
'-x,y,z'
'-x,y,-z'
'x,-y,z'
loop_
_atom_site_label
_atom_site_type_symbol
_atom_site_fract_x
_atom_site_fract_y
_atom_site_fract_z
Cr1 Cr 0.000 0.000 0.000
Cr2 Cr 0.500 0.500 0.000
Co1 Co 0.000 0.500 0.500
As1 As 0.500 0.000 0.500
```

=====

No. 3
The following is a PBE-GGA calculation of a relaxed Sc3As crystal, from Alexandria.

**Crystal system**: orthorhombic
**Total magnetic moment**: 0.000 μB per atom
**Formation energy from the elements**: -2.9 eV per formula unit

Structure (CIF):
```
data_Sc3As
_cell_length_a 3.737
_cell_length_b 10.999
_cell_length_c 8.414
_cell_angle_alpha 90.00
_cell_angle_beta 90.00
_cell_angle_gamma 90.00
_symmetry_space_group_name_H-M 'C m c m'
_symmetry_Int_Tables_number 63
_symmetry_space_group_name_Hall '-C 2c 2'
loop_
_atom_site_label
_atom_site_type_symbol
_atom_site_fract_x
_atom_site_fract_y
_atom_site_fract_z
Sc1 Sc 0.000 0.065 0.250
Sc2 Sc 0.000 0.361 0.052
As1 As 0.000 0.243 0.750
```

=====

No. 4
The following is a PBE-GGA calculation of a relaxed Tl4SeS crystal, from Alexandria.

**Formation energy without anion corrections**: -0.27 eV/atom
**Crystal system**: monoclinic
**Total magnetic moment**: 0.000 μB per atom

Structure (CIF):
```
data_Tl4SeS
_cell_length_a 14.905
_cell_length_b 7.454
_cell_length_c 7.609
_cell_angle_alpha 90.00
_cell_angle_beta 102.20
_cell_angle_gamma 90.00
_symmetry_space_group_name_H-M 'C 1 2/c 1'
_symmetry_Int_Tables_number 15
loop_
_symmetry_equiv_pos_as_xyz
'x,y,z'
'-x,-y,-z'
'-x,y,-z+1/2'
'x,-y,z+1/2'
'x+1/2,y+1/2,z'
'-x+1/2,-y+1/2,-z'
'-x+1/2,y+1/2,-z+1/2'
'x+1/2,-y+1/2,z+1/2'
loop_
_atom_site_label
_atom_site_type_symbol
_atom_site_fract_x
_atom_site_fract_y
_atom_site_fract_z
Tl1 Tl 0.129 0.019 0.119
Tl2 Tl 0.130 0.480 0.119
Se1 Se 0.000 0.251 0.750
S1 S 0.250 0.250 0.500
```